Record 1
This record from Alexandria describes Ti3B4Mo at its PBEsol-relaxed geometry. The functional is SCAN.

Cell and atoms, written as POSCAR:
```
Ti3B4Mo
1.0
-1.780 -1.894 1.570
0.233 -3.003 -3.358
4.837 -2.425 2.558
B Ti Mo
4 3 1
Direct
0.000 0.100 0.470
0.500 0.602 0.029
0.000 0.397 0.968
0.500 0.897 0.530
0.500 0.125 0.176
0.000 0.620 0.327
0.000 0.881 0.822
0.500 0.377 0.679
```

Energy relative to the elements in eV/atom: -0.866

Record 2
This record from Alexandria describes TlCrTc2 at its PBEsol-relaxed geometry. The functional is SCAN.

Cell and atoms, written as POSCAR:
```
TlCrTc2
1.0
-0.203 1.693 2.284
-2.404 0.047 1.530
2.210 -5.842 6.303
Cr Tl Tc
1 1 2
Direct
0.000 0.000 0.000
0.500 0.500 0.500
0.261 0.261 0.216
0.739 0.739 0.784
```

Energy relative to the elements in eV/atom: 0.553

Record 3
This record from Alexandria describes TaTe2As at its PBEsol-relaxed geometry. The functional is SCAN.

Cell and atoms, written as POSCAR:
```
TaTe2As
1.0
-6.334 -2.397 -0.225
5.416 -4.671 -0.664
-1.215 2.635 6.123
As Te Ta
2 4 2
Direct
0.500 0.000 0.500
0.750 0.500 0.250
0.352 0.250 0.375
0.125 0.750 0.648
0.625 0.750 0.102
0.898 0.250 0.875
0.000 0.000 0.000
0.250 0.500 0.750
```

Formation energy (no corrections) in eV/atom: 0.68

Record 4
This record from Alexandria describes KYTl2 at its PBEsol-relaxed geometry. The functional is SCAN.

Cell and atoms, written as POSCAR:
```
KYTl2
1.0
3.613 0.000 0.000
0.000 3.613 0.000
0.000 0.000 9.972
Y Tl K
1 2 1
Direct
0.000 0.000 0.434
0.000 0.000 0.043
0.500 0.500 0.244
0.500 0.500 0.780
```

Energy relative to the elements in eV/atom: -0.069

Record 5
This record from Alexandria describes CaMgB6H12O17 at its PBEsol-relaxed geometry. The functional is SCAN.

Cell and atoms, written as POSCAR:
```
CaMgB6H12O17
1.0
-5.188 1.614 -3.773
2.414 -5.460 -5.656
-6.988 -6.329 6.902
H B O Mg Ca
24 12 34 2 2
Direct
0.644 0.903 0.026
0.160 0.514 0.563
0.001 0.719 0.661
0.784 0.260 0.071
0.356 0.097 0.974
0.378 0.452 0.901
0.356 0.403 0.026
0.001 0.781 0.339
0.840 0.486 0.437
0.784 0.240 0.929
0.976 0.527 0.777
0.840 0.014 0.563
0.999 0.281 0.339
0.216 0.740 0.929
0.644 0.597 0.974
0.976 0.973 0.223
0.378 0.048 0.099
0.160 0.986 0.437
0.024 0.027 0.777
0.622 0.952 0.901
0.999 0.219 0.661
0.622 0.548 0.099
0.024 0.473 0.223
0.216 0.760 0.071
0.716 0.405 0.776
0.284 0.595 0.224
0.494 0.155 0.770
0.764 0.952 0.385
0.764 0.548 0.615
0.236 0.048 0.615
0.236 0.452 0.385
0.284 0.905 0.776
0.506 0.655 0.770
0.494 0.345 0.230
0.716 0.095 0.224
0.506 0.845 0.230
0.717 0.596 0.048
0.721 0.527 0.490
0.717 0.904 0.952
0.339 0.749 0.190
0.026 0.401 0.352
0.913 0.460 0.830
0.279 0.473 0.510
0.446 0.469 0.173
0.279 0.027 0.490
0.384 0.177 0.675
0.661 0.251 0.810
0.875 0.250 0.000
0.125 0.750 0.000
0.554 0.531 0.827
0.087 0.540 0.170
0.728 0.390 0.650
0.087 0.960 0.830
0.616 0.823 0.325
0.913 0.040 0.170
0.616 0.677 0.675
0.554 0.969 0.173
0.446 0.031 0.827
0.728 0.110 0.350
0.721 0.973 0.510
0.272 0.890 0.650
0.974 0.599 0.648
0.339 0.751 0.810
0.974 0.901 0.352
0.384 0.323 0.325
0.283 0.096 0.048
0.026 0.099 0.648
0.272 0.610 0.350
0.661 0.249 0.190
0.283 0.404 0.952
0.000 0.000 0.000
0.000 0.500 0.000
0.518 0.250 0.500
0.482 0.750 0.500
```

Record 6
This record from Alexandria describes Na3CdOs at its PBEsol-relaxed geometry. The functional is SCAN.

Cell and atoms, written as POSCAR:
```
Na3CdOs
1.0
5.473 0.000 0.000
0.000 5.473 0.000
0.000 0.000 5.473
Os Na Cd
1 3 1
Direct
0.000 0.000 0.000
0.000 0.000 0.500
0.000 0.500 0.000
0.500 0.000 0.000
0.500 0.500 0.500
```

Energy relative to the elements in eV/atom: 1.213

| no. | electronic total energy (eV per atom) | volume (Å³/atom) |
| --- | --- | --- |
| 1 | -14.953 | 10.25 |
| 2 | -39.662 | 15.33 |
| 3 | -39.640 | 30.71 |
| 4 | -45.291 | 32.55 |
| 5 | -7.569 | 8.37 |
| 6 | -21.775 | 32.79 |